[1]
The following is a GGA-PBE calculation of a geometry-optimized Rb3ZnAs2 structure, from the Alexandria database.

Lattice parameters (Å, degrees): 9.038 9.038 9.038 125.44 76.84 130.38
Atoms (fractional coordinates):
Rb  0.181  0.697  0.877
Rb  0.250  0.250  0.000
Rb  0.319  0.197  0.516
Rb  0.681  0.803  0.484
Rb  0.750  0.750  0.000
Rb  0.819  0.303  0.123
Zn  0.250  0.750  0.500
Zn  0.750  0.250  0.500
As  0.076  0.332  0.408
As  0.424  0.832  0.256
As  0.576  0.168  0.744
As  0.924  0.668  0.592

Results
Total magnetization = 0.0 μB per cell
Distance to the lowest polymorph of the same formula = 0 kJ/mol of formula units
SG = No. 72
N(E_F) = 0.831 states/eV per atom

=====

[2]
The following is a GGA-PBE calculation of a geometry-optimized ZrIr2Se structure, from the Alexandria database.

Lattice parameters (Å, degrees): 5.135 5.135 5.135 134.57 134.57 66.20
Atoms (fractional coordinates):
Zr  0.000  0.000  0.000
Ir  0.250  0.750  0.500
Ir  0.500  0.500  0.000
Se  0.750  0.250  0.500

Results
Total magnetization = 0.0 μB per cell
Raw formation energy = -0.1866 eV/atom
SG = No. 119
N(E_F) = 0.691 states/eV per atom

=====

[3]
The following is a GGA-PBE calculation of a geometry-optimized DyCuSe2 structure, from the Alexandria database.

Lattice parameters (Å, degrees): 14.041 4.120 6.558 90.00 90.00 90.00
Atoms (fractional coordinates):
Dy  0.130  0.250  0.013
Dy  0.370  0.750  0.513
Dy  0.630  0.250  0.487
Dy  0.870  0.750  0.987
Cu  0.044  0.750  0.364
Cu  0.456  0.250  0.864
Cu  0.544  0.750  0.136
Cu  0.956  0.250  0.636
Se  0.045  0.750  0.748
Se  0.208  0.750  0.244
Se  0.292  0.250  0.744
Se  0.455  0.250  0.248
Se  0.545  0.750  0.752
Se  0.708  0.750  0.256
Se  0.792  0.250  0.756
Se  0.955  0.250  0.252

Results
Total magnetization = 0.0 μB per cell
Raw formation energy = -1.2158 eV/atom
SG = No. 62

=====

[4]
The following is a GGA-PBE calculation of a geometry-optimized TiGaSb3 structure, from the Alexandria database.

Lattice parameters (Å, degrees): 5.284 5.284 5.284 90.00 90.00 90.00
Atoms (fractional coordinates):
Ti  0.000  0.000  0.000
Ga  0.500  0.500  0.500
Sb  0.000  0.000  0.500
Sb  0.000  0.500  0.000
Sb  0.500  0.000  0.000

Results
Total magnetization = 0.0 μB per cell
Raw formation energy = 0.1677 eV/atom
Distance to the lowest polymorph of the same formula = 0 kJ/mol of formula units
SG = No. 221
N(E_F) = 0.881 states/eV per atom

=====

[5]
The following is a GGA-PBE calculation of a geometry-optimized LiScCu structure, from the Alexandria database.

Lattice parameters (Å, degrees): 4.342 4.342 3.120 90.00 90.00 120.00
Atoms (fractional coordinates):
Li  0.000  0.000  0.000
Sc  0.667  0.333  0.499
Cu  0.333  0.667  0.998

Results
Total magnetization = 0.0 μB per cell
Distance to the lowest polymorph of the same formula = 26 kJ/mol of formula units
SG = No. 156
N(E_F) = 0.823 states/eV per atom

=====

[6]
The following is a GGA-PBE calculation of a geometry-optimized PrThNbN3 structure, from the Alexandria database.

Lattice parameters (Å, degrees): 7.353 3.676 9.144 90.00 100.55 90.00
Atoms (fractional coordinates):
Pr  0.167  0.250  0.137
Pr  0.833  0.750  0.863
Th  0.347  0.750  0.848
Th  0.653  0.250  0.152
Nb  0.037  0.250  0.617
Nb  0.963  0.750  0.383
N  0.107  0.250  0.864
N  0.144  0.750  0.593
N  0.414  0.750  0.113
N  0.586  0.250  0.887
N  0.856  0.250  0.407
N  0.893  0.750  0.136

Results
Total magnetization = 0.1 μB per cell
Raw formation energy = -1.0793 eV/atom
SG = No. 11
N(E_F) = 0.375 states/eV per atom

=====

Q: total magnetization of number 1 (Rb3ZnAs2)?
A: 0.0 μB per cell

=====

Q: Which of these has the highest total magnetization?
A: PrThNbN3